# PBE CsHfMg2Ni, relaxed
# * V: 29.23 Å³/atom
# * Fermi-level density of states: 0.607 states/eV/atom
# * DFT formation energy: 1.817 eV per atom
data_CsHfMg2Ni
_space_group_name_H-M_alt 'P 4/m m m'
_space_group_IT_number 123
_space_group_name_Hall '-P 4 2'
_cell_length_a 5.592
_cell_length_b 5.592
_cell_length_c 4.675
_cell_angle_alpha 90.00
_cell_angle_beta 90.00
_cell_angle_gamma 90.00
loop_
_atom_site_label
_atom_site_type_symbol
_atom_site_fract_x
_atom_site_fract_y
_atom_site_fract_z
Cs1 Cs 0.000 0.000 0.000
Hf1 Hf 0.500 0.500 0.500
Mg1 Mg 0.000 0.500 0.000
Ni1 Ni 0.000 0.000 0.500



# PBE CsHfMg6O7, relaxed
# * V: 16.15 Å³/atom
# * Fermi-level density of states: 0.250 states/eV/atom
# * formation energy (no corrections): -2257 meV per atom
data_CsHfMg6O7
_space_group_name_H-M_alt 'P 4 m m'
_space_group_IT_number 99
_cell_length_a 4.098
_cell_length_b 4.098
_cell_length_c 14.426
_cell_angle_alpha 90.00
_cell_angle_beta 90.00
_cell_angle_gamma 90.00
loop_
_space_group_symop_operation_xyz
'x,y,z'
'-y,x,z'
'-x,-y,z'
'y,-x,z'
'-x,y,z'
'y,x,z'
'x,-y,z'
'-y,-x,z'
loop_
_atom_site_label
_atom_site_type_symbol
_atom_site_fract_x
_atom_site_fract_y
_atom_site_fract_z
Cs1 Cs 0.000 0.000 0.000
Hf1 Hf 0.500 0.500 0.813
Mg1 Mg 0.000 0.000 0.462
Mg2 Mg 0.000 0.500 0.288
Mg3 Mg 0.000 0.500 0.637
Mg4 Mg 0.500 0.500 0.467
O1 O 0.000 0.000 0.598
O2 O 0.000 0.500 0.429
O3 O 0.000 0.500 0.775
O4 O 0.500 0.500 0.607
O5 O 0.500 0.500 0.944



# PBE CsHfMgPt2, relaxed
# * V: 30.48 Å³/atom
# * Fermi-level density of states: 0.907 states/eV/atom
# * DFT formation energy: 0.302 eV per atom
data_CsHfMgPt2
_space_group_name_H-M_alt 'P 4/m m m'
_space_group_IT_number 123
_space_group_name_Hall '-P 4 2'
_cell_length_a 5.139
_cell_length_b 5.139
_cell_length_c 5.771
_cell_angle_alpha 90.00
_cell_angle_beta 90.00
_cell_angle_gamma 90.00
loop_
_atom_site_label
_atom_site_type_symbol
_atom_site_fract_x
_atom_site_fract_y
_atom_site_fract_z
Cs1 Cs 0.000 0.000 0.000
Hf1 Hf 0.500 0.500 0.500
Mg1 Mg 0.500 0.500 0.000
Pt1 Pt 0.000 0.500 0.500



# PBE CsRbHfMg2, relaxed
# * V: 49.60 Å³/atom
# * Fermi-level density of states: 0.861 states/eV/atom
# * DFT formation energy: 1.477 eV per atom
data_CsRbHfMg2
_space_group_name_H-M_alt 'P 4/m m m'
_space_group_IT_number 123
_space_group_name_Hall '-P 4 2'
_cell_length_a 6.470
_cell_length_b 6.470
_cell_length_c 5.925
_cell_angle_alpha 90.00
_cell_angle_beta 90.00
_cell_angle_gamma 90.00
loop_
_atom_site_label
_atom_site_type_symbol
_atom_site_fract_x
_atom_site_fract_y
_atom_site_fract_z
Cs1 Cs 0.000 0.000 0.000
Rb1 Rb 0.500 0.500 0.500
Hf1 Hf 0.000 0.000 0.500
Mg1 Mg 0.000 0.500 0.000



# PBE Cs2HfMgSe4, relaxed
# * V: 39.50 Å³/atom
# * Fermi-level density of states: 0.000 states/eV/atom
# * formation energy (no corrections): -1344 meV per atom
data_Cs2HfMgSe4
_space_group_name_H-M_alt 'F d d d'
_space_group_IT_number 70
_cell_length_a 6.416
_cell_length_b 15.042
_cell_length_c 26.190
_cell_angle_alpha 90.00
_cell_angle_beta 90.00
_cell_angle_gamma 90.00
loop_
_space_group_symop_operation_xyz
'x,y,z'
'-x,-y,-z'
'-x+1/4,-y+1/4,z'
'x+1/4,y+1/4,-z'
'x,-y+1/4,-z+1/4'
'-x,y+1/4,z+1/4'
'-x+1/4,y,-z+1/4'
'x+1/4,-y,z+1/4'
'x,y+1/2,z+1/2'
'-x,-y+1/2,-z+1/2'
'-x+1/4,-y+3/4,z+1/2'
'x+1/4,y+3/4,-z+1/2'
'x,-y+3/4,-z+3/4'
'-x,y+3/4,z+3/4'
'-x+1/4,y+1/2,-z+3/4'
'x+1/4,-y+1/2,z+3/4'
'x+1/2,y,z+1/2'
'-x+1/2,-y,-z+1/2'
'-x+3/4,-y+1/4,z+1/2'
'x+3/4,y+1/4,-z+1/2'
'x+1/2,-y+1/4,-z+3/4'
'-x+1/2,y+1/4,z+3/4'
'-x+3/4,y,-z+3/4'
'x+3/4,-y,z+3/4'
'x+1/2,y+1/2,z'
'-x+1/2,-y+1/2,-z'
'-x+3/4,-y+3/4,z'
'x+3/4,y+3/4,-z'
'x+1/2,-y+3/4,-z+1/4'
'-x+1/2,y+3/4,z+1/4'
'-x+3/4,y+1/2,-z+1/4'
'x+3/4,-y+1/2,z+1/4'
loop_
_atom_site_label
_atom_site_type_symbol
_atom_site_fract_x
_atom_site_fract_y
_atom_site_fract_z
Cs1 Cs 0.125 0.125 0.303
Hf1 Hf 0.125 0.125 0.125
Mg1 Mg 0.125 0.125 0.625
Se1 Se 0.114 0.279 0.428



# PBE CsHfMg2Si, relaxed
# * V: 30.37 Å³/atom
# * Fermi-level density of states: 0.867 states/eV/atom
# * formation energy (no corrections): 572 meV per atom
data_CsHfMg2Si
_space_group_name_H-M_alt 'P 4/m m m'
_space_group_IT_number 123
_space_group_name_Hall '-P 4 2'
_cell_length_a 5.390
_cell_length_b 5.390
_cell_length_c 5.228
_cell_angle_alpha 90.00
_cell_angle_beta 90.00
_cell_angle_gamma 90.00
loop_
_atom_site_label
_atom_site_type_symbol
_atom_site_fract_x
_atom_site_fract_y
_atom_site_fract_z
Cs1 Cs 0.000 0.000 0.000
Hf1 Hf 0.500 0.500 0.000
Mg1 Mg 0.000 0.500 0.500
Si1 Si 0.500 0.500 0.500



# PBE CsSrHf2Mg, relaxed
# * V: 34.55 Å³/atom
# * Fermi-level density of states: 1.338 states/eV/atom
# * DFT formation energy: 1.814 eV per atom
data_CsSrHf2Mg
_space_group_name_H-M_alt 'P 4/m m m'
_space_group_IT_number 123
_space_group_name_Hall '-P 4 2'
_cell_length_a 5.425
_cell_length_b 5.425
_cell_length_c 5.870
_cell_angle_alpha 90.00
_cell_angle_beta 90.00
_cell_angle_gamma 90.00
loop_
_atom_site_label
_atom_site_type_symbol
_atom_site_fract_x
_atom_site_fract_y
_atom_site_fract_z
Cs1 Cs 0.000 0.000 0.000
Sr1 Sr 0.000 0.000 0.500
Hf1 Hf 0.000 0.500 0.000
Mg1 Mg 0.500 0.500 0.500



# PBE CsHfMgV2, relaxed
# * V: 23.13 Å³/atom
# * Fermi-level density of states: 1.042 states/eV/atom
# * DFT formation energy: 2.345 eV per atom
data_CsHfMgV2
_space_group_name_H-M_alt 'P 4/m m m'
_space_group_IT_number 123
_space_group_name_Hall '-P 4 2'
_cell_length_a 4.729
_cell_length_b 4.729
_cell_length_c 5.172
_cell_angle_alpha 90.00
_cell_angle_beta 90.00
_cell_angle_gamma 90.00
loop_
_atom_site_label
_atom_site_type_symbol
_atom_site_fract_x
_atom_site_fract_y
_atom_site_fract_z
Cs1 Cs 0.000 0.000 0.000
Hf1 Hf 0.500 0.500 0.500
Mg1 Mg 0.000 0.000 0.500
V1 V 0.000 0.500 0.000



# PBE CsHfMn3, relaxed
# * V: 23.27 Å³/atom
# * Fermi-level density of states: 1.070 states/eV/atom
# * DFT formation energy: 2.330 eV per atom
data_CsHfMn3
_space_group_name_H-M_alt 'P m -3 m'
_space_group_IT_number 221
_space_group_name_Hall '-P 4 2 3'
_cell_length_a 4.882
_cell_length_b 4.882
_cell_length_c 4.882
_cell_angle_alpha 90.00
_cell_angle_beta 90.00
_cell_angle_gamma 90.00
loop_
_atom_site_label
_atom_site_type_symbol
_atom_site_fract_x
_atom_site_fract_y
_atom_site_fract_z
Cs1 Cs 0.000 0.000 0.000
Hf1 Hf 0.500 0.500 0.500
Mn1 Mn 0.000 0.000 0.500



# PBE CsHf3Mn, relaxed
# * V: 27.63 Å³/atom
# * Fermi-level density of states: 1.692 states/eV/atom
# * polymorph energy (0 for the lowest one): 2044.1 meV per atom
# * DFT formation energy: 2.891 eV per atom
data_CsHf3Mn
_space_group_name_H-M_alt 'P m -3 m'
_space_group_IT_number 221
_space_group_name_Hall '-P 4 2 3'
_cell_length_a 5.169
_cell_length_b 5.169
_cell_length_c 5.169
_cell_angle_alpha 90.00
_cell_angle_beta 90.00
_cell_angle_gamma 90.00
loop_
_atom_site_label
_atom_site_type_symbol
_atom_site_fract_x
_atom_site_fract_y
_atom_site_fract_z
Cs1 Cs 0.000 0.000 0.000
Hf1 Hf 0.000 0.000 0.500
Mn1 Mn 0.500 0.500 0.500



# PBE CsHf3Mn, relaxed
# * V: 25.56 Å³/atom
# * Fermi-level density of states: 1.211 states/eV/atom
# * polymorph energy (0 for the lowest one): 0.0 meV per atom
# * DFT formation energy: 0.847 eV per atom
data_CsHf3Mn
_space_group_name_H-M_alt 'P m -3 m'
_space_group_IT_number 221
_space_group_name_Hall '-P 4 2 3'
_cell_length_a 5.037
_cell_length_b 5.037
_cell_length_c 5.037
_cell_angle_alpha 90.00
_cell_angle_beta 90.00
_cell_angle_gamma 90.00
loop_
_atom_site_label
_atom_site_type_symbol
_atom_site_fract_x
_atom_site_fract_y
_atom_site_fract_z
Cs1 Cs 0.000 0.000 0.000
Hf1 Hf 0.000 0.500 0.500
Mn1 Mn 0.500 0.500 0.500



# PBE CsHf2MnNb, relaxed
# * V: 29.92 Å³/atom
# * Fermi-level density of states: 1.474 states/eV/atom
# * DFT formation energy: 1.247 eV per atom
data_CsHf2MnNb
_space_group_name_H-M_alt 'P 4/m m m'
_space_group_IT_number 123
_space_group_name_Hall '-P 4 2'
_cell_length_a 5.204
_cell_length_b 5.204
_cell_length_c 5.524
_cell_angle_alpha 90.00
_cell_angle_beta 90.00
_cell_angle_gamma 90.00
loop_
_atom_site_label
_atom_site_type_symbol
_atom_site_fract_x
_atom_site_fract_y
_atom_site_fract_z
Cs1 Cs 0.000 0.000 0.000
Hf1 Hf 0.000 0.500 0.500
Mn1 Mn 0.500 0.500 0.000
Nb1 Nb 0.500 0.500 0.500